Model one:
Below is crystalline CsIn4Pb2 at its relaxed geometry, with properties calculated at the PBE-GGA level.

Output
**Space group**: R-3m
**DOS at the Fermi energy**: 4.15 states/eV/f.u.

abc: 5.4381 5.4381 10.2288
angles: 74.58 74.58 60.00
Atoms (fractional coordinates):
Cs1 0.0000 0.0000 0.0000
Pb1 0.7529 0.7529 0.7412
Pb2 0.2471 0.2471 0.2588
In1 0.1399 0.1399 0.5802
In2 0.5528 0.5528 0.3415
In3 0.4472 0.4472 0.6585
In4 0.8601 0.8601 0.4198



Model two:
Below is crystalline CsIn4Pb2 at its relaxed geometry, with properties calculated at the PBE-GGA level.

Output
**Space group**: C2/m
**DOS at the Fermi energy**: 3.15 states/eV/f.u.

abc: 4.9532 5.1544 10.2155
angles: 104.68 104.10 89.75
Atoms (fractional coordinates):
In1 0.6679 0.6679 0.3358
In2 0.9195 0.4195 0.8390
In3 0.0805 0.5805 0.1610
In4 0.3321 0.3321 0.6642
Cs1 0.5000 0.0000 0.0000
Pb1 0.1756 0.1756 0.3511
Pb2 0.8244 0.8244 0.6489



What are the relative energies? In eV/atom: model one 0.000; model two 0.060.